No. 1
The following is a DFT calculation (PBE) of a geometry-optimized Tb3Ho2ErTe6 structure.

Output
D(E_F): 6.3 states/eV per cell
Energy: -61.727 eV for the cell shown
Formation energy without anion corrections: -1.27 eV per atom

a = 9.7302 Å, b = 9.7302 Å, c = 8.7434 Å
α = 103.21°, β = 103.21°, γ = 25.71°
With the nearest neighbours (Å) after each atom.
Atoms (fractional coordinates):
1 Tb 0.0000 0.0000 0.0000  6 Te 3.08-3.10
2 Tb 0.3326 0.3326 0.6672  6 Te 3.09-3.10
3 Tb 0.6674 0.6674 0.3328  6 Te 3.09-3.10
4 Ho 0.3328 0.3328 0.1665  6 Te 3.06-3.07
5 Ho 0.6672 0.6672 0.8335  6 Te 3.06-3.07
6 Er 0.0000 0.0000 0.5000  6 Te 3.05-3.06
7 Te 0.1652 0.1652 0.5843  1 Er 3.05, 2 Ho 3.07, 3 Tb 3.09
8 Te 0.1671 0.1671 0.0809  3 Ho 3.06, 3 Tb 3.08-3.09
9 Te 0.4994 0.4994 0.2530  2 Er 3.06, 1 Ho 3.07, 3 Tb 3.10
10 Te 0.5006 0.5006 0.7470  2 Er 3.06, 1 Ho 3.07, 3 Tb 3.10
11 Te 0.8329 0.8329 0.9191  3 Ho 3.06, 3 Tb 3.08-3.09
12 Te 0.8348 0.8348 0.4157  1 Er 3.05, 2 Ho 3.07, 3 Tb 3.09

=====

No. 2
The following is a DFT calculation (PBE) of a geometry-optimized Tb2HoErTe5 structure.

Output
D(E_F): 4.3 states/eV per cell
Energy: -40.066 eV for the cell shown
Formation energy without anion corrections: -0.66 eV per atom

a = 5.5250 Å, b = 5.5250 Å, c = 11.4695 Å
α = 90.00°, β = 90.00°, γ = 90.00°
With the nearest neighbours (Å) after each atom.
Atoms (fractional coordinates):
1 Tb 0.0000 0.0000 0.1529  4 Te 3.27, 1 Tb 3.51
2 Tb 0.0000 0.0000 0.8471  4 Te 3.27, 1 Tb 3.51
3 Ho 0.5000 0.5000 0.0000  6 Te 2.76-2.92
4 Er 0.5000 0.5000 0.5000  2 Te 2.81
5 Te 0.0000 0.0000 0.5000  4 Er 3.91, 2 Tb 3.98
6 Te 0.0000 0.5000 0.0000  2 Ho 2.76
7 Te 0.5000 0.0000 0.0000  2 Ho 2.76
8 Te 0.5000 0.5000 0.2547  1 Er 2.81, 1 Ho 2.92
9 Te 0.5000 0.5000 0.7453  1 Er 2.81, 1 Ho 2.92